The following is a PBE-GGA calculation of NdIrNO after structural relaxation, from the Open Quantum Materials Database.

Cell: 3.7447 5.6577 5.2676 Å, 90.00 90.00 90.00°
Space group Pmc2_1 (No. 26)
Inequivalent atoms, fractional coordinates:
1 Nd 0.0000 0.1961 0.0000 x2
2 Ir 0.5000 0.3611 0.4977 x2
3 N 0.0000 0.3461 0.4901 x2
4 O 0.5000 0.0324 0.7407 x2

## Properties
**E above lowest polymorph**: 0.000 eV/f.u.